Below is a geometry-optimized ZrMnFe2 structure, with properties calculated at the GGA-PBE level.

Computed properties:
ΔH_f (0 K) = 0.077 eV/atom
density of states at the Fermi level = 1.140 states/eV per atom
spin magnetization = 6.48 μB/f.u.
theoretical density = 7486 kg/m3
space-group type = Pmmm
total energy = -8.58 eV per atom

Lattice parameters (Å, degrees): 3.4265 4.0987 4.0725 90.00 90.00 90.00
Fractional positions:
Zr: 0.0000 0.5000 0.5000
Mn: 0.5000 0.0000 0.5000
Fe: 0.5000 0.5000 0.0000
Fe: 0.0000 0.0000 0.0000

---

Below is a geometry-optimized CoWCl2 structure, with properties calculated at the GGA-PBE level.

Computed properties:
density of states at the Fermi level = 0.738 states/eV per atom
spin magnetization = 1.06 μB/f.u.
theoretical density = 5842 kg/m3
space-group type = Immm
energy relative to the elements, uncorrected = 0.1945 eV/atom
total energy = -5.74 eV per atom

Lattice parameters (Å, degrees): 7.6896 7.6896 7.6896 158.00 148.39 38.85
Fractional positions:
Cl: 0.1124 0.1124 0.0000
W: 0.2500 0.7500 0.5000
Cl: 0.3876 0.3876 0.0000
Co: 0.7500 0.2500 0.5000

---

Below is a geometry-optimized SmSi4Ni2 structure, with properties calculated at the GGA-PBE level.

Computed properties:
density of states at the Fermi level = 0.484 states/eV per atom
spin magnetization = 0.00 μB/f.u.
theoretical density = 5893 kg/m3
space-group type = Pnma
energy relative to the elements, uncorrected = -0.4786 eV/atom
total energy = -5.90 eV per atom

Lattice parameters (Å, degrees): 3.9506 6.3253 17.1435 90.00 90.00 90.00
Fractional positions:
Si: 0.2500 0.1306 0.5203
Si: 0.7500 0.8694 0.4797
Si: 0.7500 0.6306 0.9797
Si: 0.2500 0.0265 0.9364
Sm: 0.7500 0.0396 0.6393
Si: 0.2500 0.1896 0.2089
Si: 0.2500 0.3694 0.0203
Si: 0.7500 0.2958 0.3205
Si: 0.7500 0.2042 0.8205
Ni: 0.2500 0.7419 0.5354
Si: 0.2500 0.3104 0.7089
Si: 0.7500 0.9735 0.0636
Sm: 0.2500 0.9604 0.3607
Si: 0.2500 0.7042 0.6795
Ni: 0.2500 0.0073 0.7938
Ni: 0.7500 0.5073 0.7062
Sm: 0.7500 0.4604 0.1393
Ni: 0.7500 0.2419 0.9646
Si: 0.2500 0.4735 0.4364
Si: 0.7500 0.5265 0.5636
Si: 0.7500 0.6896 0.2911
Ni: 0.7500 0.2581 0.4646
Sm: 0.2500 0.5396 0.8607
Si: 0.2500 0.7958 0.1795
Ni: 0.2500 0.7581 0.0354
Ni: 0.7500 0.9927 0.2062
Ni: 0.2500 0.4927 0.2938
Si: 0.7500 0.8104 0.7911